1.
# YPbC3 (PBE-GGA, optimized geometry)
data_YPbC3
_chemical_formula_sum 'Y1 Pb1 C3'
_cell_length_a 4.393
_cell_length_b 4.393
_cell_length_c 4.393
_cell_angle_alpha 90.00
_cell_angle_beta 90.00
_cell_angle_gamma 90.00
_symmetry_space_group_name_H-M 'P m -3 m'
_symmetry_Int_Tables_number 221
_symmetry_space_group_name_Hall '-P 4 2 3'
loop_
_atom_site_label
_atom_site_type_symbol
_atom_site_fract_x
_atom_site_fract_y
_atom_site_fract_z
Y1 Y 0.000 0.000 0.000
Pb1 Pb 0.500 0.500 0.500
C1 C 0.000 0.500 0.500
# ΔE to the lowest computed polymorph   54.2 meV/atom
# Energy of formation   2381 meV per atom
# Calculated density   6.51 Mg/m³
# Spin magnetization   0.00 μB/cell

=====

2.
# SrCdOs2 (PBE-GGA, optimized geometry)
data_SrCdOs2
_chemical_formula_sum 'Sr1 Cd1 Os2'
_cell_length_a 2.865
_cell_length_b 2.865
_cell_length_c 9.348
_cell_angle_alpha 90.00
_cell_angle_beta 90.00
_cell_angle_gamma 90.00
_symmetry_space_group_name_H-M 'P 4/m m m'
_symmetry_Int_Tables_number 123
_symmetry_space_group_name_Hall '-P 4 2'
loop_
_atom_site_label
_atom_site_type_symbol
_atom_site_fract_x
_atom_site_fract_y
_atom_site_fract_z
Sr1 Sr 0.000 0.000 0.000
Cd1 Cd 0.000 0.000 0.500
Os1 Os 0.500 0.500 0.271
# Energy of formation   1048 meV per atom
# Calculated density   12.56 Mg/m³
# Spin magnetization   1.70 μB/cell

=====

3.
# Na4Ac3LaTe8 (PBE-GGA, optimized geometry)
data_Na4Ac3LaTe8
_chemical_formula_sum 'Na12 Ac9 La3 Te24'
_cell_length_a 9.5008
_cell_length_b 9.5008
_cell_length_c 22.6135
_cell_angle_alpha 90.00
_cell_angle_beta 90.00
_cell_angle_gamma 120.00
_symmetry_space_group_name_H-M 'R -3 m'
_symmetry_Int_Tables_number 166
_symmetry_space_group_name_Hall '-R 3 2"'
loop_
_atom_site_label
_atom_site_type_symbol
_atom_site_fract_x
_atom_site_fract_y
_atom_site_fract_z
Na1 Na 0.0000 0.0000 0.0000
Na2 Na 0.0000 0.5000 0.0000
Ac1 Ac 0.0000 0.5000 0.5000
La1 La 0.0000 0.0000 0.5000
Te1 Te 0.0000 0.0000 0.2502
Te2 Te 0.0067 0.5034 0.2486
# Calculated density   5.45 Mg/m³
# Spin magnetization   0.00 μB/cell
# E_form (uncorrected)   -1.397 eV per atom

=====

4.
# DyCuSi2Ni (PBE-GGA, optimized geometry)
data_DyCuSi2Ni
_chemical_formula_sum 'Dy2 Cu2 Si4 Ni2'
_cell_length_a 3.970
_cell_length_b 3.970
_cell_length_c 9.753
_cell_angle_alpha 90.00
_cell_angle_beta 90.00
_cell_angle_gamma 90.00
_symmetry_space_group_name_H-M 'I -4 m 2'
_symmetry_Int_Tables_number 119
_symmetry_space_group_name_Hall 'I -4 -2'
loop_
_atom_site_label
_atom_site_type_symbol
_atom_site_fract_x
_atom_site_fract_y
_atom_site_fract_z
Dy1 Dy 0.000 0.000 0.000
Cu1 Cu 0.000 0.500 0.750
Si1 Si 0.000 0.000 0.378
Ni1 Ni 0.000 0.500 0.250
# Calculated density   7.37 Mg/m³
# Spin magnetization   0.00 μB/cell
# E_form (uncorrected)   -0.718 eV per atom

=====

5.
# Zn8CdNi4 (PBE-GGA, optimized geometry)
data_Zn8CdNi4
_chemical_formula_sum 'Zn16 Cd2 Ni8'
_cell_length_a 8.474
_cell_length_b 8.474
_cell_length_c 5.109
_cell_angle_alpha 90.00
_cell_angle_beta 90.00
_cell_angle_gamma 90.00
_symmetry_space_group_name_H-M 'I 4/m m m'
_symmetry_Int_Tables_number 139
_symmetry_space_group_name_Hall '-I 4 2'
loop_
_atom_site_label
_atom_site_type_symbol
_atom_site_fract_x
_atom_site_fract_y
_atom_site_fract_z
Zn1 Zn 0.000 0.224 0.000
Zn2 Zn 0.000 0.331 0.500
Cd1 Cd 0.000 0.000 0.500
Ni1 Ni 0.250 0.250 0.250
# Energy of formation   -162 meV per atom
# Calculated density   7.88 Mg/m³
# Spin magnetization   0.00 μB/cell

=====

6.
# Ce8Pt5Au (PBE-GGA, optimized geometry)
data_Ce8Pt5Au
_chemical_formula_sum 'Ce16 Pt10 Au2'
_cell_length_a 8.935
_cell_length_b 8.935
_cell_length_c 8.832
_cell_angle_alpha 90.00
_cell_angle_beta 90.00
_cell_angle_gamma 90.00
_symmetry_space_group_name_H-M 'I -4'
_symmetry_Int_Tables_number 82
loop_
_symmetry_equiv_pos_as_xyz
'x,y,z'
'y,-x,-z'
'-x,-y,z'
'-y,x,-z'
'x+1/2,y+1/2,z+1/2'
'y+1/2,-x+1/2,-z+1/2'
'-x+1/2,-y+1/2,z+1/2'
'-y+1/2,x+1/2,-z+1/2'
loop_
_atom_site_label
_atom_site_type_symbol
_atom_site_fract_x
_atom_site_fract_y
_atom_site_fract_z
Ce1 Ce 0.058 0.175 0.184
Ce2 Ce 0.069 0.308 0.566
Pt1 Pt 0.000 0.000 0.500
Pt2 Pt 0.130 0.256 0.879
Au1 Au 0.000 0.500 0.250
# Energy of formation   -849 meV per atom
# Calculated density   10.80 Mg/m³
# Spin magnetization   13.65 μB/cell

=====

7.
# PmSnRh2 (PBE-GGA, optimized geometry)
data_PmSnRh2
_chemical_formula_sum 'Pm1 Sn1 Rh2'
_cell_length_a 4.619
_cell_length_b 4.619
_cell_length_c 3.611
_cell_angle_alpha 90.00
_cell_angle_beta 90.00
_cell_angle_gamma 90.00
_symmetry_space_group_name_H-M 'P 4/m m m'
_symmetry_Int_Tables_number 123
_symmetry_space_group_name_Hall '-P 4 2'
loop_
_atom_site_label
_atom_site_type_symbol
_atom_site_fract_x
_atom_site_fract_y
_atom_site_fract_z
Pm1 Pm 0.000 0.000 0.000
Sn1 Sn 0.500 0.500 0.000
Rh1 Rh 0.000 0.500 0.500
# Energy of formation   -654 meV per atom
# Calculated density   10.12 Mg/m³
# Spin magnetization   0.00 μB/cell

=====

8.
# Be2IrCl (PBE-GGA, optimized geometry)
data_Be2IrCl
_chemical_formula_sum 'Be2 Ir1 Cl1'
_cell_length_a 2.880
_cell_length_b 2.975
_cell_length_c 6.117
_cell_angle_alpha 90.00
_cell_angle_beta 90.00
_cell_angle_gamma 90.00
_symmetry_space_group_name_H-M 'P m m m'
_symmetry_Int_Tables_number 47
loop_
_symmetry_equiv_pos_as_xyz
'x,y,z'
'-x,-y,-z'
'-x,-y,z'
'x,y,-z'
'x,-y,-z'
'-x,y,z'
'-x,y,-z'
'x,-y,z'
loop_
_atom_site_label
_atom_site_type_symbol
_atom_site_fract_x
_atom_site_fract_y
_atom_site_fract_z
Be1 Be 0.000 0.000 0.196
Ir1 Ir 0.500 0.500 0.000
Cl1 Cl 0.500 0.000 0.500
# ΔE to the lowest computed polymorph   38.0 meV/atom
# Calculated density   7.78 Mg/m³
# Spin magnetization   0.00 μB/cell
# E_form (uncorrected)   -0.363 eV per atom